Er2LuAl: optimized geometry, GGA-PBE.

The structure in CIF format:
```
data_Er2LuAl
_chemical_formula_sum 'Er2 Lu1 Al1'
_cell_length_a 3.464
_cell_length_b 3.464
_cell_length_c 8.920
_cell_angle_alpha 90.00
_cell_angle_beta 90.00
_cell_angle_gamma 90.00
_space_group_name_H-M_alt 'P 4/m m m'
_space_group_IT_number 123
_space_group_name_Hall '-P 4 2'
loop_
_atom_site_label
_atom_site_fract_x
_atom_site_fract_y
_atom_site_fract_z
Er1 0.000 0.000 0.217
Lu1 0.500 0.500 0.500
Al1 0.500 0.500 0.000
```

Values from the calculation:
* ρ: 8.32 g/cm³
* N(E_F): 4.16 states/eV per cell
* magnetization: 0.000 μB per formula unit
* formation enthalpy at 0 K: -0.19 eV per atom
* ΔE to the lowest computed polymorph: 9 meV per atom